Density functional theory data (PBE-GGA) for a relaxed TcBi2Ru crystal.

offset from the most stable computed form: 0.575 eV per atom
M_tot: 0.00 μB per atom
formation energy from the elements: 1.12 eV per atom

extended XYZ file:
```
8
Lattice="-0.1947 -6.0848 -0.9447 -0.9187 -0.9059 6.0242 -6.5545 -3.1691 1.6741" Properties=species:S:1:pos:R:3 pbc="T T T"
Tc -4.0150 -3.7852 5.1190
Tc -0.5567 -3.4954 2.5397
Bi -1.8758 -4.7275 0.5781
Bi -5.8930 -8.4965 5.7189
Bi -2.2366 -2.1001 4.0685
Bi -5.3306 -4.9955 3.1416
Ru 0.0000 0.0000 0.0000
Ru -3.6529 -6.3746 1.6345
```